{"formula": "MnHgO3", "functional": "PBE with a Hubbard U", "state": "optimized geometry", "m_tot_mub_per_atom": 0.600, "n_ef_per_ev_cell": 1.52, "dft_energy_ev_per_atom": -5.323, "lattice_angstrom": [[-1.357, 3.434, 0.871], [-2.299, -2.773, 4.096], [4.893, 1.056, 3.461]], "species": ["O", "O", "O", "O", "O", "O", "Hg", "Hg", "Mn", "Mn"], "frac_coords": [[0.539, 0.737, 0.511], [0.993, 0.455, 0.750], [0.007, 0.545, 0.250], [0.461, 0.263, 0.489], [0.539, 0.737, 0.989], [0.461, 0.263, 0.011], [0.000, 0.000, 0.500], [0.000, 0.000, 0.000], [0.502, 0.494, 0.750], [0.498, 0.506, 0.250]]}